Entry 1:
Here is PuCdAg2O4 after structural relaxation from Alexandria. Energies are from PBE.

Computed properties:
Calculated volume (Å³ per cell): 239.8
E (eV for the cell shown): -102.55

a b c (Å): 4.429 4.620 11.722
angles (deg): 90.00 90.00 90.00
Space group Imm2 (No. 44)
Inequivalent atoms, fractional coordinates:
Pu1 0.000 0.000 0.000
Cd1 0.000 0.500 0.231
Ag1 0.000 0.000 0.431
Ag2 0.000 0.500 0.770
O1 0.000 0.000 0.184
O2 0.000 0.000 0.808
O3 0.000 0.500 0.026
O4 0.000 0.500 0.484


Entry 2:
Here is PuCd2Ag3O6 after structural relaxation from Alexandria. Energies are from PBE.

Computed properties:
Calculated volume (Å³ per cell): 395.1
E (eV for the cell shown): -137.15

a b c (Å): 5.934 10.371 6.668
angles (deg): 90.00 105.65 90.00
Space group C2/m (No. 12)
Inequivalent atoms, fractional coordinates:
Pu1 0.000 0.000 0.000
Cd1 0.000 0.333 0.000
Ag1 0.000 0.152 0.500
Ag2 0.000 0.500 0.500
O1 0.102 0.156 0.825
O2 0.134 0.500 0.823


Entry 3:
Here is Pu2CdAgO8 after structural relaxation from Alexandria. Energies are from PBE.

Computed properties:
Calculated volume (Å³ per cell): 176.1
E (eV for the cell shown): -89.35

a b c (Å): 6.0464 6.0464 5.5604
angles (deg): 90.00 90.00 120.00
Space group P-3 (No. 147)
Inequivalent atoms, fractional coordinates:
Pu1 0.3333 0.6667 0.4335
Cd1 0.0000 0.0000 0.0000
Ag1 0.0000 0.0000 0.5000
O1 0.0630 0.3834 0.6634
O2 0.3333 0.6667 0.1025


Entry 4:
Here is PuCdAgO6 after structural relaxation from Alexandria. Energies are from PBE.

Computed properties:
Calculated volume (Å³ per cell): 256.2
E (eV for the cell shown): -118.36

a b c (Å): 5.4798 5.4798 9.8504
angles (deg): 90.00 90.00 120.00
Space group P-31c (No. 163)
Inequivalent atoms, fractional coordinates:
Pu1 0.3333 0.6667 0.2500
Cd1 0.0000 0.0000 0.0000
Ag1 0.3333 0.6667 0.7500
O1 0.0295 0.3648 0.1342


Respective Fermi-level density of states values: 0.7569 0.7430 0.6992 0.4838 states/eV/atom.